A plane-wave DFT calculation with meta-GGA SCAN was carried out for a crystal of Be3PdAu relaxed with PBEsol.

The structure belongs to space group Pm-3m (No. 221); the cell edges are 4.214, 4.214 and 4.214 Å and the angles 90.00°, 90.00° and 90.00°. The asymmetric unit holds Be at (0.000, 0.000, 0.500), Pd at (0.500, 0.500, 0.500) and Au at (0.000, 0.000, 0.000).

The calculation puts the formation energy at 383.8 meV per atom.

---

A plane-wave DFT calculation with meta-GGA SCAN was carried out for a crystal of BeHS2N relaxed with PBEsol.

The structure belongs to space group P4/mmm (No. 123); the cell edges are 3.269, 3.269 and 5.908 Å and the angles 90.00°, 90.00° and 90.00°. The asymmetric unit holds Be at (0.000, 0.000, 0.000), H at (0.500, 0.500, 0.500), S at (0.000, 0.500, 0.500) and N at (0.500, 0.500, 0.000).

---

A plane-wave DFT calculation with meta-GGA SCAN was carried out for a crystal of LiTlCr relaxed with PBEsol.

The structure belongs to space group P3m1 (No. 156); the cell edges are 3.1634, 3.1634 and 6.9397 Å and the angles 90.00°, 90.00° and 120.00°. The asymmetric unit holds Li at (0.0000, 0.0000, 0.0000), Tl at (0.3333, 0.6667, 0.6657) and Cr at (0.6667, 0.3333, 0.3317).

The calculation puts the formation energy at 268.0 meV per atom.

---

Number 1: spin magnetization 0.0 μB per formula unit, DFT total energy -22.61 eV per atom. Number 2: spin magnetization 1.2 μB per formula unit, DFT total energy -5.82 eV per atom. Number 3: spin magnetization 4.3 μB per formula unit, DFT total energy -30.78 eV per atom.